A plane-wave DFT calculation with PBE+U was carried out for VCoRhO6 after structural relaxation.

Output
Its space group is No. 163. The density of states at the Fermi level comes out at 10.386 states/eV/cell. The calculated total energy is -6.5941 eV per atom.

Geometry as POSCAR:
```
VCoRhO6
1.0
-3.9021 2.2260 1.8382
2.6060 -3.0135 2.7727
4.9111 6.5458 2.4983
O Co Rh V
12 2 2 2
Direct
0.0178 0.3398 0.6229
0.3398 0.3220 0.3771
0.3398 0.0178 0.1229
0.3220 0.9822 0.6229
0.0178 0.6780 0.8771
0.6602 0.9822 0.8771
0.6780 0.6602 0.1229
0.3220 0.3398 0.8771
0.9822 0.6602 0.3771
0.6602 0.6780 0.6229
0.9822 0.3220 0.1229
0.6780 0.0178 0.3771
0.0000 0.0000 0.0000
0.0000 0.0000 0.5000
0.6667 0.3333 0.7500
0.3333 0.6667 0.2500
0.3333 0.6667 0.7500
0.6667 0.3333 0.2500
```